Entry 1:
A plane-wave DFT calculation with PBE was carried out for crystalline NpTcPb2O6 at its relaxed geometry.

Cell: 6.3375 6.3375 5.0401 Å, 105.86 105.86 54.52°
Closest atoms and distances in Å follow each position.
Fractional positions:
Np: 0.0000 0.0000 0.0000  2 O 1.96
Tc: 0.5000 0.5000 0.5000  4 O 1.99
Pb: 0.2773 0.2773 0.7866  5 O 2.48-2.71
Pb: 0.7227 0.7227 0.2134  5 O 2.48-2.71
O: 0.1651 0.1651 0.2798  1 Np 1.96
O: 0.1846 0.6581 0.2159  1 Tc 1.99, 1 Np 2.21
O: 0.3419 0.8154 0.7841  1 Tc 1.99, 1 Np 2.21
O: 0.6581 0.1846 0.2159  1 Tc 1.99, 1 Np 2.21
O: 0.8154 0.3419 0.7841  1 Tc 1.99, 1 Np 2.21
O: 0.8349 0.8349 0.7202  1 Np 1.96

Total magnetization in Bohr magnetons per cell: 4.0
Calculated total energy in eV/atom: -7.726

Entry 2:
A plane-wave DFT calculation with PBE was carried out for crystalline NpTePbO6 at its relaxed geometry.

Cell: 5.7527 5.7527 10.4922 Å, 90.00 90.00 120.00°
Closest atoms and distances in Å follow each position.
Fractional positions:
Np: 0.3333 0.6667 0.2500  6 O 2.09
Np: 0.6667 0.3333 0.7500  6 O 2.09
Te: 0.3333 0.6667 0.7500  6 O 2.18
Te: 0.6667 0.3333 0.2500  6 O 2.18
Pb: 0.0000 0.0000 0.0000  6 O 2.60
Pb: 0.0000 0.0000 0.5000  6 O 2.60
O: 0.0109 0.3729 0.1444  1 Np 2.09, 1 Te 2.18
O: 0.0109 0.6381 0.3555  1 Np 2.09, 1 Te 2.18
O: 0.3619 0.3729 0.3555  1 Np 2.09, 1 Te 2.18
O: 0.3619 0.9891 0.1444  1 Np 2.09, 1 Te 2.18
O: 0.3729 0.0109 0.6444  1 Np 2.09, 1 Te 2.18
O: 0.3729 0.3619 0.8556  1 Np 2.09, 1 Te 2.18
O: 0.6271 0.6381 0.1444  1 Np 2.09, 1 Te 2.18
O: 0.6271 0.9891 0.3555  1 Np 2.09, 1 Te 2.18
O: 0.6381 0.0109 0.8556  1 Np 2.09, 1 Te 2.18
O: 0.6381 0.6271 0.6444  1 Np 2.09, 1 Te 2.18
O: 0.9891 0.3619 0.6444  1 Np 2.09, 1 Te 2.18
O: 0.9891 0.6271 0.8556  1 Np 2.09, 1 Te 2.18

Total magnetization in Bohr magnetons per cell: 2.0
Calculated total energy in eV/atom: -7.305

Entry 3:
A plane-wave DFT calculation with PBE was carried out for crystalline NpTiPb2O8 at its relaxed geometry.

Cell: 5.1523 6.6467 5.1564 Å, 90.00 91.47 90.00°
Closest atoms and distances in Å follow each position.
Fractional positions:
Np: 0.0000 0.0000 0.0000  6 O 2.03-2.11
Ti: 0.0000 0.5000 0.0000  6 O 1.94-2.06
Pb: 0.5000 0.2622 0.5000  6 O 2.29-2.43
Pb: 0.5000 0.7378 0.5000  6 O 2.29-2.43
O: 0.1716 0.2549 0.8296  1 Ti 2.06, 1 Np 2.11
O: 0.1716 0.7451 0.8296  1 Ti 2.06, 1 Np 2.11
O: 0.2690 0.5000 0.2702  1 Ti 1.94
O: 0.2814 0.0000 0.2828  1 Np 2.03
O: 0.7186 0.0000 0.7172  1 Np 2.03
O: 0.7310 0.5000 0.7298  1 Ti 1.94
O: 0.8284 0.2549 0.1704  1 Ti 2.06, 1 Np 2.11
O: 0.8284 0.7451 0.1704  1 Ti 2.06, 1 Np 2.11

Total magnetization in Bohr magnetons per cell: 1.0
Calculated total energy in eV/atom: -7.642

Entry 4:
A plane-wave DFT calculation with PBE was carried out for crystalline NpTiPb2O6 at its relaxed geometry.

Cell: 5.8005 5.8005 5.9565 Å, 119.74 119.74 60.83°
Closest atoms and distances in Å follow each position.
Fractional positions:
Np: 0.0000 0.0000 0.0000  6 O 2.17-2.23
Ti: 0.5000 0.5000 0.5000  6 O 2.00-2.01
Pb: 0.2457 0.2457 0.7230  5 O 2.60-2.72
Pb: 0.7543 0.7543 0.2770  5 O 2.60-2.72
O: 0.2166 0.6972 0.6921  1 Ti 2.01, 1 Np 2.23
O: 0.2615 0.2615 0.1944  1 Ti 2.00, 1 Np 2.17
O: 0.3028 0.7834 0.3079  1 Ti 2.01, 1 Np 2.23
O: 0.6972 0.2166 0.6921  1 Ti 2.01, 1 Np 2.23
O: 0.7385 0.7385 0.8056  1 Ti 2.00, 1 Np 2.17
O: 0.7834 0.3028 0.3079  1 Ti 2.01, 1 Np 2.23

Total magnetization in Bohr magnetons per cell: 3.0
Calculated total energy in eV/atom: -8.021

Entry 5:
A plane-wave DFT calculation with PBE was carried out for crystalline Np3Tl4PbO12 at its relaxed geometry.

Cell: 7.6277 7.6277 7.6277 Å, 109.47 109.47 109.47°
Closest atoms and distances in Å follow each position.
Fractional positions:
Np: 0.0000 0.5000 0.5000  2 O 1.93
Np: 0.5000 0.0000 0.5000  2 O 1.93
Np: 0.5000 0.5000 0.0000  2 O 1.93
Tl: 0.0000 0.0000 0.5000  12 O 3.11-3.13
Tl: 0.0000 0.5000 0.0000  12 O 3.11-3.13
Tl: 0.5000 0.0000 0.0000  12 O 3.11-3.13
Tl: 0.5000 0.5000 0.5000  12 O 3.11-3.13
Pb: 0.0000 0.0000 0.0000  6 O 2.48
O: 0.0000 0.2814 0.2814  1 Np 1.93
O: 0.0000 0.7186 0.7186  1 Np 1.93
O: 0.2500 0.5000 0.7500  2 Np 2.20
O: 0.2500 0.7500 0.5000  2 Np 2.20
O: 0.2814 0.0000 0.2814  1 Np 1.93
O: 0.2814 0.2814 0.0000  1 Np 1.93
O: 0.5000 0.2500 0.7500  2 Np 2.20
O: 0.5000 0.7500 0.2500  2 Np 2.20
O: 0.7186 0.0000 0.7186  1 Np 1.93
O: 0.7186 0.7186 0.0000  1 Np 1.93
O: 0.7500 0.2500 0.5000  2 Np 2.20
O: 0.7500 0.5000 0.2500  2 Np 2.20

Total magnetization in Bohr magnetons per cell: 3.0
Calculated total energy in eV/atom: -7.614

Entry 6:
A plane-wave DFT calculation with PBE was carried out for crystalline NpTlPbO6 at its relaxed geometry.

Cell: 5.7227 5.7227 10.6524 Å, 90.00 90.00 120.00°
Closest atoms and distances in Å follow each position.
Fractional positions:
Np: 0.3333 0.6667 0.2500  6 O 2.04
Np: 0.6667 0.3333 0.7500  6 O 2.04
Tl: 0.3333 0.6667 0.7500  6 O 2.30
Tl: 0.6667 0.3333 0.2500  6 O 2.30
Pb: 0.0000 0.0000 0.0000  6 O 2.56
Pb: 0.0000 0.0000 0.5000  6 O 2.56
O: 0.0343 0.3774 0.1411  1 Np 2.04
O: 0.0343 0.6569 0.3589  1 Np 2.04
O: 0.3431 0.3774 0.3589  1 Np 2.04
O: 0.3431 0.9657 0.1411  1 Np 2.04
O: 0.3774 0.0343 0.6411  1 Np 2.04
O: 0.3774 0.3431 0.8589  1 Np 2.04
O: 0.6226 0.6569 0.1411  1 Np 2.04
O: 0.6226 0.9657 0.3589  1 Np 2.04
O: 0.6569 0.0343 0.8589  1 Np 2.04
O: 0.6569 0.6226 0.6411  1 Np 2.04
O: 0.9657 0.3431 0.6411  1 Np 2.04
O: 0.9657 0.6226 0.8589  1 Np 2.04

Total magnetization in Bohr magnetons per cell: 0.1
Calculated total energy in eV/atom: -7.049

Entry 7:
A plane-wave DFT calculation with PBE was carried out for crystalline Np2TlPbO8 at its relaxed geometry.

Cell: 6.2594 6.2594 6.0885 Å, 90.00 90.00 120.00°
Closest atoms and distances in Å follow each position.
Fractional positions:
Np: 0.3333 0.6667 0.4436  1 O 1.86
Np: 0.6667 0.3333 0.5564  1 O 1.86
Tl: 0.0000 0.0000 0.5000  6 O 2.49
Pb: 0.0000 0.0000 0.0000  2 Tl 3.04, 6 O 3.17
O: 0.0639 0.3996 0.6467  1 Np 2.09
O: 0.3333 0.6667 0.1389  1 Np 1.86
O: 0.3356 0.9361 0.6467  1 Np 2.09
O: 0.3996 0.3356 0.3533  1 Np 2.09
O: 0.6004 0.6644 0.6467  1 Np 2.09
O: 0.6644 0.0639 0.3533  1 Np 2.09
O: 0.6667 0.3333 0.8611  1 Np 1.86
O: 0.9361 0.6004 0.3533  1 Np 2.09

Total magnetization in Bohr magnetons per cell: 0.6
Calculated total energy in eV/atom: -7.714

Entry 8:
A plane-wave DFT calculation with PBE was carried out for crystalline NpTlPb2O5 at its relaxed geometry.

Cell: 7.1214 7.1214 7.1214 Å, 144.42 126.83 65.63°
Closest atoms and distances in Å follow each position.
Fractional positions:
Np: 0.0000 0.0000 0.0000  6 O 2.12-2.18
Tl: 0.5000 0.5000 0.0000  10 O 3.19-3.20
Pb: 0.2329 0.7329 0.5000  2 O 2.40
Pb: 0.7671 0.2671 0.5000  2 O 2.40
O: 0.0000 0.5000 0.5000  2 Np 2.18
O: 0.0956 0.8701 0.2255  1 Np 2.12
O: 0.3554 0.1299 0.2255  1 Np 2.12
O: 0.6446 0.8701 0.7745  1 Np 2.12
O: 0.9044 0.1299 0.7745  1 Np 2.12

Total magnetization in Bohr magnetons per cell: 2.0
Calculated total energy in eV/atom: -6.955

Entry 9:
A plane-wave DFT calculation with PBE was carried out for crystalline NpTl2PbO6 at its relaxed geometry.

Cell: 6.2578 6.2386 10.7604 Å, 90.00 125.20 90.00°
Closest atoms and distances in Å follow each position.
Fractional positions:
Np: 0.0000 0.0000 0.0000  6 O 2.02-2.03
Np: 0.0000 0.5000 0.5000  6 O 2.02-2.03
Tl: 0.2424 0.0001 0.7506  5 O 2.81-2.91
Tl: 0.2424 0.4999 0.2506  5 O 2.81-2.91
Tl: 0.7576 0.9999 0.2494  5 O 2.81-2.91
Tl: 0.7576 0.5001 0.7494  5 O 2.81-2.91
Pb: 0.5000 0.0000 0.5000  6 O 2.43-2.45
Pb: 0.5000 0.5000 0.0000  6 O 2.43-2.45
O: 0.1912 0.2289 0.9654  1 Np 2.03
O: 0.1912 0.2711 0.4654  1 Np 2.03
O: 0.1935 0.7268 0.4656  1 Np 2.03
O: 0.1935 0.7732 0.9656  1 Np 2.03
O: 0.2861 0.0004 0.2249  1 Np 2.02
O: 0.2861 0.4996 0.7249  1 Np 2.02
O: 0.7139 0.9996 0.7751  1 Np 2.02
O: 0.7139 0.5004 0.2751  1 Np 2.02
O: 0.8065 0.2268 0.0344  1 Np 2.03
O: 0.8065 0.2732 0.5344  1 Np 2.03
O: 0.8088 0.7289 0.5346  1 Np 2.03
O: 0.8088 0.7711 0.0346  1 Np 2.03

Total magnetization in Bohr magnetons per cell: 0.0
Calculated total energy in eV/atom: -6.700

Entry 10:
A plane-wave DFT calculation with PBE was carried out for crystalline Np2Tl3PbO9 at its relaxed geometry.

Cell: 6.2428 6.2428 7.7424 Å, 90.00 90.00 120.00°
Closest atoms and distances in Å follow each position.
Fractional positions:
Np: 0.3333 0.6667 0.1545  6 O 1.98-2.16
Np: 0.6667 0.3333 0.8455  6 O 1.98-2.16
Tl: 0.0000 0.0000 0.0000  12 O 3.07-3.12
Tl: 0.3333 0.6667 0.6584  12 O 3.14-3.20
Tl: 0.6667 0.3333 0.3416  12 O 3.14-3.20
Pb: 0.0000 0.0000 0.5000  6 O 2.51
O: 0.0000 0.5000 0.0000  2 Np 2.16
O: 0.1836 0.3672 0.3024  1 Np 1.98
O: 0.1836 0.8164 0.3024  1 Np 1.98
O: 0.3672 0.1836 0.6976  1 Np 1.98
O: 0.5000 0.0000 0.0000  2 Np 2.16
O: 0.5000 0.5000 0.0000  2 Np 2.16
O: 0.6328 0.8164 0.3024  1 Np 1.98
O: 0.8164 0.1836 0.6976  1 Np 1.98
O: 0.8164 0.6328 0.6976  1 Np 1.98

Total magnetization in Bohr magnetons per cell: 1.0
Calculated total energy in eV/atom: -7.305

Question: Look up the total magnetization of the seventh one.
Answer: 0.6 Bohr magnetons per cell